The following is a DFT calculation (PBE-GGA) of crystalline NaBr at its relaxed geometry.

The structure belongs to space group Pm-3m (No. 221); the cell edges are 3.7303, 3.7303 and 3.7303 Å and the angles 90.00°, 90.00° and 90.00°. The asymmetric unit holds Na at (0.0000, 0.0000, 0.0000) and Br at (0.5000, 0.5000, 0.5000).

For the total magnetization, the calculation gives 0.0 Bohr magnetons per cell. Its uncorrected formation energy is -136 kJ/mol of atoms. The value obtained for the total energy is -5.8 eV for the cell shown.